This record from the Alexandria database describes crystalline Tm2SiIr at its relaxed geometry. The functional is PBE. Values from VASP.

crystal system	monoclinic
formation energy (no corrections)	-0.8833	eV per atom
N(E_F)	4.99	states/eV/cell

Structure (Quantum ESPRESSO input):
```
&SYSTEM
  ibrav = 0, nat = 8, ntyp = 3
/
ATOMIC_SPECIES
Tm 168.93 Tm.upf
Si 28.09 Si.upf
Ir 192.22 Ir.upf
ATOMIC_POSITIONS crystal
Tm 0.194 0.250 0.414
Tm 0.272 0.750 0.062
Tm 0.728 0.250 0.938
Tm 0.806 0.750 0.586
Si 0.365 0.750 0.711
Si 0.635 0.250 0.289
Ir 0.152 0.250 0.781
Ir 0.848 0.750 0.219
CELL_PARAMETERS angstrom
5.598 0.000 0.000
0.000 4.079 0.000
-2.618 0.000 7.445
```